PBE+U Cs2BaWO4, relaxed; symmetry = I-4; DFT total energy = -0.2118 Ha/atom; DOS(E_F) = 0.00 states/eV/f.u.
1.0
6.310 0.005 0.008
-2.684 5.711 -0.008
-2.684 -2.305 5.225
Cs Ba W O
2 1 1 4
direct
0.500 0.750 0.250
0.000 0.000 0.000
0.500 0.250 0.750
0.000 0.500 0.500
0.615 0.312 0.398
0.086 0.303 0.688
0.914 0.602 0.217
0.385 0.783 0.697